# PBE PmMg9Cd3, optimized geometry
data_PmMg9Cd3
_chemical_formula_sum 'Pm2 Mg18 Cd6'
_space_group_name_H-M_alt 'C 1 2/m 1'
_space_group_IT_number 12
_cell_length_a 5.923
_cell_length_b 14.220
_cell_length_c 7.704
_cell_angle_alpha 90.00
_cell_angle_beta 112.12
_cell_angle_gamma 90.00
loop_
_space_group_symop_operation_xyz
'x,y,z'
'-x,-y,-z'
'-x,y,-z'
'x,-y,z'
'x+1/2,y+1/2,z'
'-x+1/2,-y+1/2,-z'
'-x+1/2,y+1/2,-z'
'x+1/2,-y+1/2,z'
loop_
_atom_site_label
_atom_site_type_symbol
_atom_site_fract_x
_atom_site_fract_y
_atom_site_fract_z
_atom_site_occupancy
Pm1 Pm 0.000 0.000 0.000 1
Mg1 Mg 0.000 0.000 0.500 1
Mg2 Mg 0.105 0.393 0.211 1
Mg3 Mg 0.175 0.176 0.348 1
Cd1 Cd 0.000 0.500 0.500 1
Cd2 Cd 0.250 0.250 0.000 1
# - Density of states at the Fermi level: 0.394 states/eV per atom
# - Energy: -1.804 eV/atom